Compound: ZnInAu2F
Source: Alexandria via LeMat-Bulk
Functional: PBE
Structure: optimized geometry

Results
raw formation energy = 0.006 eV per atom
crystal system = tetragonal

Structure (CIF):
```
data_ZnInAu2F
_cell_length_a 4.782
_cell_length_b 5.846
_cell_length_c 4.782
_cell_angle_alpha 90.00
_cell_angle_beta 90.00
_cell_angle_gamma 90.00
_symmetry_space_group_name_H-M 'P 1'
_symmetry_Int_Tables_number 1
_symmetry_space_group_name_Hall 'P 1'
loop_
_atom_site_label
_atom_site_fract_x
_atom_site_fract_y
_atom_site_fract_z
Zn1 0.000 0.000 0.000
F1 0.500 0.500 0.500
Au1 0.000 0.000 0.500
Au2 0.500 0.000 0.000
In1 0.000 0.500 0.000
```

Compound: VSbTe3
Source: Alexandria via LeMat-Bulk
Functional: PBE
Structure: optimized geometry

Results
excess energy over the best structure of this formula in the dataset = 0 meV/atom
raw formation energy = -0.074 eV per atom
crystal system = monoclinic

Structure (CIF):
```
data_VSbTe3
_cell_length_a 6.132
_cell_length_b 6.977
_cell_length_c 6.645
_cell_angle_alpha 90.00
_cell_angle_beta 90.00
_cell_angle_gamma 88.80
_symmetry_space_group_name_H-M 'P 1'
_symmetry_Int_Tables_number 1
_symmetry_space_group_name_Hall 'P 1'
loop_
_atom_site_label
_atom_site_fract_x
_atom_site_fract_y
_atom_site_fract_z
V1 0.503 0.010 0.250
V2 0.497 0.990 0.750
Sb1 0.332 0.647 0.250
Sb2 0.668 0.353 0.750
Te1 0.805 0.863 0.498
Te2 0.195 0.137 0.502
Te3 0.805 0.863 0.002
Te4 0.195 0.137 0.998
Te5 0.685 0.371 0.250
Te6 0.315 0.629 0.750
```

Compound: LiPaPtO6
Source: Alexandria via LeMat-Bulk
Functional: PBE
Structure: optimized geometry

Results
raw formation energy = -1.758 eV per atom
crystal system = tetragonal

Structure (CIF):
```
data_LiPaPtO6
_cell_length_a 4.901
_cell_length_b 4.901
_cell_length_c 9.658
_cell_angle_alpha 90.00
_cell_angle_beta 90.00
_cell_angle_gamma 90.00
_symmetry_space_group_name_H-M 'P 1'
_symmetry_Int_Tables_number 1
_symmetry_space_group_name_Hall 'P 1'
loop_
_atom_site_label
_atom_site_fract_x
_atom_site_fract_y
_atom_site_fract_z
Li1 0.500 0.500 0.163
Li2 0.000 0.000 0.663
Pa1 0.500 0.500 0.499
Pa2 0.000 0.000 0.999
Pt1 0.500 0.500 0.834
Pt2 0.000 0.000 0.334
O1 0.191 0.809 0.486
O2 0.809 0.191 0.486
O3 0.309 0.309 0.986
O4 0.691 0.691 0.986
O5 0.190 0.810 0.180
O6 0.810 0.190 0.180
O7 0.310 0.310 0.680
O8 0.690 0.690 0.680
O9 0.784 0.216 0.836
O10 0.216 0.784 0.836
O11 0.716 0.716 0.336
O12 0.284 0.284 0.336
```

Compound: Fe2NiRh6
Source: Alexandria via LeMat-Bulk
Functional: PBE
Structure: optimized geometry

Results
energy of formation from the pure elements = 0.127 eV per atom
crystal system = orthorhombic

Structure (CIF):
```
data_Fe2NiRh6
_cell_length_a 2.658
_cell_length_b 13.031
_cell_length_c 7.565
_cell_angle_alpha 149.46
_cell_angle_beta 100.12
_cell_angle_gamma 90.00
_symmetry_space_group_name_H-M 'P 1'
_symmetry_Int_Tables_number 1
_symmetry_space_group_name_Hall 'P 1'
loop_
_atom_site_label
_atom_site_fract_x
_atom_site_fract_y
_atom_site_fract_z
Fe1 0.179 0.179 0.359
Fe2 0.821 0.821 0.641
Ni1 0.000 0.500 0.000
Rh1 0.323 0.493 0.647
Rh2 0.677 0.507 0.353
Rh3 0.677 0.846 0.353
Rh4 0.500 0.142 0.000
Rh5 0.500 0.858 0.000
Rh6 0.323 0.154 0.647
```

Compound: LaTbCuSe4
Source: Alexandria via LeMat-Bulk
Functional: PBE
Structure: optimized geometry

Results
raw formation energy = -1.427 eV per atom
crystal system = monoclinic

Structure (CIF):
```
data_LaTbCuSe4
_cell_length_a 7.090
_cell_length_b 5.923
_cell_length_c 8.356
_cell_angle_alpha 90.00
_cell_angle_beta 107.06
_cell_angle_gamma 90.00
_symmetry_space_group_name_H-M 'P 1'
_symmetry_Int_Tables_number 1
_symmetry_space_group_name_Hall 'P 1'
loop_
_atom_site_label
_atom_site_fract_x
_atom_site_fract_y
_atom_site_fract_z
La1 0.741 0.750 0.934
La2 0.259 0.250 0.066
Tb1 0.728 0.750 0.433
Tb2 0.272 0.250 0.567
Cu1 0.257 0.750 0.314
Cu2 0.743 0.250 0.686
Se1 0.016 0.510 0.742
Se2 0.984 0.010 0.258
Se3 0.984 0.490 0.258
Se4 0.016 0.990 0.742
Se5 0.430 0.750 0.110
Se6 0.570 0.250 0.890
Se7 0.430 0.750 0.606
Se8 0.570 0.250 0.394
```

Compound: Ce4Si2Au5
Source: Alexandria via LeMat-Bulk
Functional: PBE
Structure: optimized geometry

Results
raw formation energy = -0.651 eV per atom
crystal system = monoclinic

Structure (CIF):
```
data_Ce4Si2Au5
_cell_length_a 4.027
_cell_length_b 7.426
_cell_length_c 8.539
_cell_angle_alpha 88.76
_cell_angle_beta 90.00
_cell_angle_gamma 90.00
_symmetry_space_group_name_H-M 'P 1'
_symmetry_Int_Tables_number 1
_symmetry_space_group_name_Hall 'P 1'
loop_
_atom_site_label
_atom_site_fract_x
_atom_site_fract_y
_atom_site_fract_z
Ce1 0.500 0.752 0.606
Ce2 0.500 0.213 0.860
Ce3 0.500 0.248 0.394
Ce4 0.500 0.787 0.140
Si1 0.000 0.065 0.622
Si2 0.000 0.935 0.378
Au1 0.000 0.580 0.349
Au2 0.000 0.131 0.127
Au3 0.000 0.500 0.000
Au4 0.000 0.869 0.873
Au5 0.000 0.420 0.651
```

Compound: Ni3H3Rh
Source: Alexandria via LeMat-Bulk
Functional: PBE
Structure: optimized geometry

Results
excess energy over the best structure of this formula in the dataset = 0 meV/atom
crystal system = orthorhombic

Structure (CIF):
```
data_Ni3H3Rh
_cell_length_a 3.767
_cell_length_b 5.331
_cell_length_c 5.331
_cell_angle_alpha 90.36
_cell_angle_beta 90.00
_cell_angle_gamma 90.00
_symmetry_space_group_name_H-M 'P 1'
_symmetry_Int_Tables_number 1
_symmetry_space_group_name_Hall 'P 1'
loop_
_atom_site_label
_atom_site_fract_x
_atom_site_fract_y
_atom_site_fract_z
Ni1 0.750 0.373 0.125
Ni2 0.750 0.877 0.123
Ni3 0.750 0.875 0.627
Ni4 0.250 0.627 0.875
Ni5 0.250 0.123 0.877
Ni6 0.250 0.125 0.373
H1 0.250 0.371 0.121
H2 0.250 0.879 0.121
H3 0.250 0.879 0.629
H4 0.750 0.629 0.879
H5 0.750 0.121 0.879
H6 0.750 0.121 0.371
Rh1 0.250 0.626 0.374
Rh2 0.750 0.374 0.626
```

| no. | calculated volume (Å³ per cell) | final energy (eV/atom) |
| --- | --- | --- |
| 1 | 134 | -2.482 |
| 2 | 284 | -4.608 |
| 3 | 232 | -7.003 |
| 4 | 125 | -7.297 |
| 5 | 335 | -5.369 |
| 6 | 255 | -5.284 |
| 7 | 107 | -4.970 |